{"formula": "MnMo2F", "functional": "GGA+U", "state": "relaxed", "mass_density_g_cm3": 8.231, "polymorph_energy_ev_per_fu": 0.487, "crystal_system": "cubic", "dft_energy_ev_per_atom": -4.21, "lattice_angstrom": [[0.000, 2.993, 2.993], [2.993, 0.000, 2.993], [2.993, 2.993, 0.000]], "species": ["Mn", "Mo", "Mo", "F"], "fractional_positions": [[0.000, 0.000, 0.000], [0.250, 0.250, 0.250], [0.750, 0.750, 0.750], [0.500, 0.500, 0.500]]}